The following is a DFT calculation (SCAN) of a crystal of Li2Ni3BiO8 relaxed with PBEsol.

Volume (A^3/atom): 10.46
Magnetic moment (μB/f.u.): 3.00
Uncorrected formation energy (eV per atom): -1.34
Fermi-level density of states (states/eV/f.u.): 5.39
Final energy (eV per atom): -14.3175

a b c (Å): 8.3679 8.3679 8.3679
angles (deg): 90.00 90.00 90.00
Space group P4_332 (No. 212)
Asymmetric unit:
Li (0.0028, 0.4972, 0.5028) (multiplicity 8)
Ni (0.1132, 0.1368, 0.6250) (multiplicity 12)
Bi (0.1250, 0.8750, 0.3750) (multiplicity 4)
O (0.0941, 0.1321, 0.3901) (multiplicity 24)
O (0.1136, 0.6136, 0.8864) (multiplicity 8)

The following is a DFT calculation (SCAN) of a crystal of Cd3Au2 relaxed with PBEsol.

Volume (A^3/atom): 18.69
Magnetic moment (μB/f.u.): 0.00
ΔE_f (eV/atom): -0.174
Fermi-level density of states (states/eV/f.u.): 1.26
Final energy (eV per atom): -46.0850

a b c (Å): 10.1982 14.0083 5.2324
angles (deg): 90.00 90.00 90.00
Space group Fdd2 (No. 43)
Asymmetric unit:
Cd (0.0000, 0.0000, 0.0000) (multiplicity 8)
Cd (0.0473, 0.1010, 0.4866) (multiplicity 16)
Au (0.0262, 0.2027, 0.9502) (multiplicity 16)

The following is a DFT calculation (SCAN) of a crystal of Na2SI2 relaxed with PBEsol.

Volume (A^3/atom): 29.14
Magnetic moment (μB/f.u.): 0.00
Uncorrected formation energy (eV per atom): -0.60
Fermi-level density of states (states/eV/f.u.): 0.97
Final energy (eV per atom): -18.9067

a b c (Å): 8.1980 8.1980 4.3355
angles (deg): 90.00 90.00 90.00
Space group P4/mbm (No. 127)
Asymmetric unit:
Na (0.1503, 0.3497, 0.0000) (multiplicity 4)
S (0.0000, 0.0000, 0.5000) (multiplicity 2)
I (0.1696, 0.6696, 0.5000) (multiplicity 4)

The following is a DFT calculation (SCAN) of a crystal of ZrAg2Hg relaxed with PBEsol.

Volume (A^3/atom): 18.97
Magnetic moment (μB/f.u.): 0.00
ΔE_f (eV/atom): 0.034
Fermi-level density of states (states/eV/f.u.): 1.90
Final energy (eV per atom): -40.3654

a b c (Å): 2.9968 2.9968 29.2751
angles (deg): 90.00 90.00 120.00
Space group R-3m (No. 166, hexagonal axes)
Asymmetric unit:
Zr (0.0000, 0.0000, 0.0000) (multiplicity 3)
Ag (0.0000, 0.0000, 0.2495) (multiplicity 6)
Hg (0.0000, 0.0000, 0.5000) (multiplicity 3)

The following is a DFT calculation (SCAN) of a crystal of CuTe2Mo relaxed with PBEsol.

Volume (A^3/atom): 18.61
Magnetic moment (μB/f.u.): 0.00
Uncorrected formation energy (eV per atom): 0.30
Fermi-level density of states (states/eV/f.u.): 2.14
Final energy (eV per atom): -30.8424

a b c (Å): 3.3363 3.3363 6.6886
angles (deg): 90.00 90.00 90.00
Space group P4/mmm (No. 123)
Asymmetric unit:
Cu (0.0000, 0.0000, 0.0000) (multiplicity 1)
Te (0.5000, 0.5000, 0.2583) (multiplicity 2)
Mo (0.0000, 0.0000, 0.5000) (multiplicity 1)

The following is a DFT calculation (SCAN) of a crystal of La2TaNi relaxed with PBEsol.

Volume (A^3/atom): 20.98
Magnetic moment (μB/f.u.): 0.00
ΔE_f (eV/atom): 0.553
Fermi-level density of states (states/eV/f.u.): 3.61
Final energy (eV per atom): -41.6883

a b c (Å): 3.3986 4.7232 5.2268
angles (deg): 90.00 90.00 90.00
Space group Pmmm (No. 47)
Asymmetric unit:
La (0.0000, 0.0000, 0.0000) (multiplicity 1)
La (0.5000, 0.0000, 0.5000) (multiplicity 1)
Ta (0.0000, 0.5000, 0.5000) (multiplicity 1)
Ni (0.5000, 0.5000, 0.0000) (multiplicity 1)